Entry from the Alexandria database: a relaxed structure of NdFeB2Os (PBE).

Total DFT energy (no corrections) ... -39.68 eV/cell
Total moment ... 0.221 μB per atom
Calculated formation energy ... -372.2 meV/atom
Space group ... I-4m2, No. 119
V ... 14.6 A^3/atom

a = 5.714 Å, b = 5.714 Å, c = 5.714 Å
α = 141.13°, β = 141.13°, γ = 56.14°
Element x y z (fractional)
Nd  0.000  0.000  0.000
Fe  0.750  0.250  0.500
B  0.334  0.334  0.000
B  0.666  0.666  0.000
Os  0.250  0.750  0.500

Entry from the Alexandria database: a relaxed structure of PrNdFe14B (PBE).

Total DFT energy (no corrections) ... -542.32 eV/cell
Total moment ... 1.842 μB per atom
Calculated formation energy ... -51.6 meV/atom
Space group ... P4_2/mnm, No. 136
V ... 13.7 A^3/atom

a = 8.759 Å, b = 8.759 Å, c = 12.133 Å
α = 90.00°, β = 90.00°, γ = 90.00°
Element x y z (fractional)
Pr  0.142  0.142  0.000
Pr  0.358  0.642  0.500
Pr  0.642  0.358  0.500
Pr  0.858  0.858  0.000
Nd  0.231  0.231  0.500
Nd  0.269  0.731  0.000
Nd  0.731  0.269  0.000
Nd  0.769  0.769  0.500
Fe  0.000  0.000  0.385
Fe  0.000  0.000  0.615
Fe  0.000  0.500  0.000
Fe  0.000  0.500  0.500
Fe  0.037  0.640  0.176
Fe  0.037  0.640  0.824
Fe  0.067  0.725  0.372
Fe  0.067  0.725  0.628
Fe  0.098  0.902  0.205
Fe  0.098  0.902  0.795
Fe  0.140  0.463  0.324
Fe  0.140  0.463  0.676
Fe  0.182  0.182  0.255
Fe  0.182  0.182  0.745
Fe  0.225  0.433  0.128
Fe  0.225  0.433  0.872
Fe  0.275  0.933  0.372
Fe  0.275  0.933  0.628
Fe  0.318  0.682  0.245
Fe  0.318  0.682  0.755
Fe  0.360  0.963  0.176
Fe  0.360  0.963  0.824
Fe  0.402  0.402  0.295
Fe  0.402  0.402  0.705
Fe  0.433  0.225  0.128
Fe  0.433  0.225  0.872
Fe  0.463  0.140  0.324
Fe  0.463  0.140  0.676
Fe  0.500  0.000  0.000
Fe  0.500  0.000  0.500
Fe  0.500  0.500  0.115
Fe  0.500  0.500  0.885
Fe  0.537  0.860  0.324
Fe  0.537  0.860  0.676
Fe  0.567  0.775  0.128
Fe  0.567  0.775  0.872
Fe  0.598  0.598  0.295
Fe  0.598  0.598  0.705
Fe  0.640  0.037  0.176
Fe  0.640  0.037  0.824
Fe  0.682  0.318  0.245
Fe  0.682  0.318  0.755
Fe  0.725  0.067  0.372
Fe  0.725  0.067  0.628
Fe  0.775  0.567  0.128
Fe  0.775  0.567  0.872
Fe  0.818  0.818  0.255
Fe  0.818  0.818  0.745
Fe  0.860  0.537  0.324
Fe  0.860  0.537  0.676
Fe  0.902  0.098  0.205
Fe  0.902  0.098  0.795
Fe  0.933  0.275  0.372
Fe  0.933  0.275  0.628
Fe  0.963  0.360  0.176
Fe  0.963  0.360  0.824
B  0.123  0.877  0.500
B  0.377  0.377  0.000
B  0.623  0.623  0.000
B  0.877  0.123  0.500

Entry from the Alexandria database: a relaxed structure of Nd2FeBPt6 (PBE).

Total DFT energy (no corrections) ... -68.35 eV/cell
Total moment ... 0.374 μB per atom
Calculated formation energy ... -742.8 meV/atom
Space group ... R-3m, No. 166
V ... 18.4 A^3/atom

a = 7.288 Å, b = 7.288 Å, c = 7.288 Å
α = 46.18°, β = 46.18°, γ = 46.18°
Element x y z (fractional)
Nd  0.211  0.211  0.211
Nd  0.789  0.789  0.789
Fe  0.500  0.500  0.500
B  0.000  0.000  0.000
Pt  0.236  0.236  0.723
Pt  0.236  0.723  0.236
Pt  0.277  0.764  0.764
Pt  0.723  0.236  0.236
Pt  0.764  0.277  0.764
Pt  0.764  0.764  0.277

Entry from the Alexandria database: a relaxed structure of NdFeB2Ru (PBE).

Total DFT energy (no corrections) ... -37.79 eV/cell
Total moment ... 0.212 μB per atom
Calculated formation energy ... -385.0 meV/atom
Space group ... I-4m2, No. 119
V ... 14.4 A^3/atom

a = 5.670 Å, b = 5.670 Å, c = 5.670 Å
α = 140.90°, β = 140.90°, γ = 56.49°
Element x y z (fractional)
Nd  0.000  0.000  0.000
Fe  0.750  0.250  0.500
B  0.333  0.333  0.000
B  0.667  0.667  0.000
Ru  0.250  0.750  0.500

Entry from the Alexandria database: a relaxed structure of Fe2NiB (PBE).

Total DFT energy (no corrections) ... -57.11 eV/cell
Total moment ... 1.017 μB per atom
Calculated formation energy ... 207.6 meV/atom
Space group ... I-42d, No. 122
V ... 10.4 A^3/atom

a = 4.916 Å, b = 4.916 Å, c = 4.916 Å
α = 100.79°, β = 100.79°, γ = 128.72°
Element x y z (fractional)
Fe  0.045  0.625  0.920
Fe  0.375  0.295  0.420
Fe  0.705  0.125  0.080
Fe  0.875  0.955  0.580
Ni  0.250  0.750  0.500
Ni  0.500  0.500  0.000
B  0.000  0.000  0.000
B  0.750  0.250  0.500

Entry from the Alexandria database: a relaxed structure of FeNiB (PBE).

Total DFT energy (no corrections) ... -42.14 eV/cell
Total moment ... 0.700 μB per atom
Calculated formation energy ... -49.6 meV/atom
Space group ... P4/nmm, No. 129
V ... 9.4 A^3/atom

a = 3.224 Å, b = 3.224 Å, c = 5.453 Å
α = 90.00°, β = 90.00°, γ = 90.00°
Element x y z (fractional)
Fe  0.250  0.750  0.000
Fe  0.750  0.250  0.000
Ni  0.250  0.250  0.373
Ni  0.750  0.750  0.627
B  0.250  0.250  0.739
B  0.750  0.750  0.261